# 1
VASP calculation (PBE) on a relaxed FeSe2S crystal.

Geometry as CIF:
```
data_FeSe2S
_chemical_formula_sum 'Fe3 Se6 S3'
_cell_length_a 3.5615
_cell_length_b 3.5615
_cell_length_c 21.7856
_cell_angle_alpha 90.00
_cell_angle_beta 90.00
_cell_angle_gamma 120.00
_space_group_name_H-M_alt 'R -3 m'
_space_group_IT_number 166
_space_group_name_Hall '-R 3 2"'
loop_
_atom_site_label
_atom_site_type_symbol
_atom_site_fract_x
_atom_site_fract_y
_atom_site_fract_z
Fe1 Fe 0.0000 0.0000 0.0000
Se1 Se 0.0000 0.0000 0.3914
S1 S 0.0000 0.0000 0.5000
```

Calculated values
M_tot in μB per atom: 0.307
Raw formation energy in eV/f.u.: 0.39

# 2
VASP calculation (PBE) on a relaxed BeIr2Rh crystal.

Geometry as CIF:
```
data_BeIr2Rh
_chemical_formula_sum 'Be3 Ir6 Rh3'
_cell_length_a 3.9715
_cell_length_b 3.9715
_cell_length_c 12.2979
_cell_angle_alpha 90.00
_cell_angle_beta 90.00
_cell_angle_gamma 120.00
_space_group_name_H-M_alt 'R 3 m'
_space_group_IT_number 160
_space_group_name_Hall 'R 3 -2"'
loop_
_atom_site_label
_atom_site_type_symbol
_atom_site_fract_x
_atom_site_fract_y
_atom_site_fract_z
Be1 Be 0.0000 0.0000 0.0000
Ir1 Ir 0.0000 0.0000 0.3747
Ir2 Ir 0.0000 0.0000 0.5882
Rh1 Rh 0.0000 0.0000 0.8083
```

Calculated values
M_tot in μB per atom: 0.000

# 3
VASP calculation (PBE) on a relaxed LaDyH8Rh2 crystal.

Geometry as CIF:
```
data_LaDyH8Rh2
_chemical_formula_sum 'La3 Dy3 H24 Rh6'
_cell_length_a 4.9198
_cell_length_b 4.9198
_cell_length_c 18.1176
_cell_angle_alpha 90.00
_cell_angle_beta 90.00
_cell_angle_gamma 120.00
_space_group_name_H-M_alt 'R -3'
_space_group_IT_number 148
_space_group_name_Hall '-R 3'
loop_
_atom_site_label
_atom_site_type_symbol
_atom_site_fract_x
_atom_site_fract_y
_atom_site_fract_z
La1 La 0.0000 0.0000 0.0000
Dy1 Dy 0.0000 0.0000 0.5000
H1 H 0.0000 0.0000 0.3180
H2 H 0.0486 0.4330 0.5580
Rh1 Rh 0.0000 0.0000 0.2289
```

Calculated values
M_tot in μB per atom: 0.000

# 4
VASP calculation (PBE) on a relaxed LiTiGa crystal.

Geometry as CIF:
```
data_LiTiGa
_chemical_formula_sum 'Li1 Ti1 Ga1'
_cell_length_a 4.3311
_cell_length_b 4.3311
_cell_length_c 2.8518
_cell_angle_alpha 90.00
_cell_angle_beta 90.00
_cell_angle_gamma 120.00
_space_group_name_H-M_alt 'P -6 m 2'
_space_group_IT_number 187
_space_group_name_Hall 'P -6 2'
loop_
_atom_site_label
_atom_site_type_symbol
_atom_site_fract_x
_atom_site_fract_y
_atom_site_fract_z
Li1 Li 0.0000 0.0000 0.0000
Ti1 Ti 0.3333 0.6667 0.5000
Ga1 Ga 0.6667 0.3333 0.0000
```

Calculated values
M_tot in μB per atom: 0.003

# 5
VASP calculation (PBE) on a relaxed LiCoTc2 crystal.

Geometry as CIF:
```
data_LiCoTc2
_chemical_formula_sum 'Li2 Co2 Tc4'
_cell_length_a 8.667
_cell_length_b 2.561
_cell_length_c 4.695
_cell_angle_alpha 90.00
_cell_angle_beta 96.39
_cell_angle_gamma 90.00
_space_group_name_H-M_alt 'C 1 m 1'
_space_group_IT_number 8
loop_
_space_group_symop_operation_xyz
'x,y,z'
'x,-y,z'
'x+1/2,y+1/2,z'
'x+1/2,-y+1/2,z'
loop_
_atom_site_label
_atom_site_type_symbol
_atom_site_fract_x
_atom_site_fract_y
_atom_site_fract_z
Li1 Li 0.000 0.000 0.000
Co1 Co 0.247 0.000 0.777
Tc1 Tc 0.020 0.500 0.513
Tc2 Tc 0.258 0.500 0.257
```

Calculated values
M_tot in μB per atom: 0.003

# 6
VASP calculation (PBE) on a relaxed MgPbCl crystal.

Geometry as CIF:
```
data_MgPbCl
_chemical_formula_sum 'Mg2 Pb2 Cl2'
_cell_length_a 3.290
_cell_length_b 3.290
_cell_length_c 15.857
_cell_angle_alpha 90.00
_cell_angle_beta 90.00
_cell_angle_gamma 90.00
_space_group_name_H-M_alt 'I 4 m m'
_space_group_IT_number 107
_space_group_name_Hall 'I 4 -2'
loop_
_atom_site_label
_atom_site_type_symbol
_atom_site_fract_x
_atom_site_fract_y
_atom_site_fract_z
Mg1 Mg 0.000 0.000 0.000
Pb1 Pb 0.000 0.000 0.347
Cl1 Cl 0.000 0.000 0.587
```

Calculated values
M_tot in μB per atom: 0.000
Raw formation energy in eV/f.u.: -1.97

# 7
VASP calculation (PBE) on a relaxed K3MoCl7 crystal.

Geometry as CIF:
```
data_K3MoCl7
_chemical_formula_sum 'K6 Mo2 Cl14'
_cell_length_a 10.559
_cell_length_b 10.214
_cell_length_c 7.776
_cell_angle_alpha 90.00
_cell_angle_beta 127.85
_cell_angle_gamma 90.00
_space_group_name_H-M_alt 'C 1 m 1'
_space_group_IT_number 8
loop_
_space_group_symop_operation_xyz
'x,y,z'
'x,-y,z'
'x+1/2,y+1/2,z'
'x+1/2,-y+1/2,z'
loop_
_atom_site_label
_atom_site_type_symbol
_atom_site_fract_x
_atom_site_fract_y
_atom_site_fract_z
K1 K 0.000 0.000 0.000
K2 K 0.001 0.271 0.561
Mo1 Mo 0.045 0.500 0.110
Cl1 Cl 0.113 0.270 0.254
Cl2 Cl 0.193 0.500 0.962
Cl3 Cl 0.328 0.500 0.487
Cl4 Cl 0.349 0.147 0.798
Cl5 Cl 0.375 0.000 0.227
```

Calculated values
M_tot in μB per atom: 0.182
Raw formation energy in eV/f.u.: -15.36

# 8
VASP calculation (PBE) on a relaxed DyHoTiIn crystal.

Geometry as CIF:
```
data_DyHoTiIn
_chemical_formula_sum 'Dy4 Ho4 Ti4 In4'
_cell_length_a 7.415
_cell_length_b 7.415
_cell_length_c 7.415
_cell_angle_alpha 90.00
_cell_angle_beta 90.00
_cell_angle_gamma 90.00
_space_group_name_H-M_alt 'F -4 3 m'
_space_group_IT_number 216
_space_group_name_Hall 'F -4 2 3'
loop_
_atom_site_label
_atom_site_type_symbol
_atom_site_fract_x
_atom_site_fract_y
_atom_site_fract_z
Dy1 Dy 0.000 0.000 0.000
Ho1 Ho 0.000 0.000 0.500
Ti1 Ti 0.250 0.250 0.250
In1 In 0.250 0.250 0.750
```

Calculated values
M_tot in μB per atom: 0.681

# 9
VASP calculation (PBE) on a relaxed CsNaHg3Pb crystal.

Geometry as CIF:
```
data_CsNaHg3Pb
_chemical_formula_sum 'Cs4 Na4 Hg12 Pb4'
_cell_length_a 7.538
_cell_length_b 14.708
_cell_length_c 7.730
_cell_angle_alpha 90.00
_cell_angle_beta 90.00
_cell_angle_gamma 90.00
_space_group_name_H-M_alt 'C m c m'
_space_group_IT_number 63
_space_group_name_Hall '-C 2c 2'
loop_
_atom_site_label
_atom_site_type_symbol
_atom_site_fract_x
_atom_site_fract_y
_atom_site_fract_z
Cs1 Cs 0.000 0.201 0.250
Na1 Na 0.000 0.439 0.250
Hg1 Hg 0.000 0.350 0.750
Hg2 Hg 0.215 0.000 0.000
Pb1 Pb 0.000 0.128 0.750
```

Calculated values
M_tot in μB per atom: 0.000

# 10
VASP calculation (PBE) on a relaxed Zr6In3Rh crystal.

Geometry as CIF:
```
data_Zr6In3Rh
_chemical_formula_sum 'Zr12 In6 Rh2'
_cell_length_a 9.417
_cell_length_b 10.898
_cell_length_c 4.427
_cell_angle_alpha 90.00
_cell_angle_beta 90.00
_cell_angle_gamma 90.00
_space_group_name_H-M_alt 'P n n m'
_space_group_IT_number 58
loop_
_space_group_symop_operation_xyz
'x,y,z'
'-x,-y,-z'
'-x,-y,z'
'x,y,-z'
'x+1/2,-y+1/2,-z+1/2'
'-x+1/2,y+1/2,z+1/2'
'-x+1/2,y+1/2,-z+1/2'
'x+1/2,-y+1/2,z+1/2'
loop_
_atom_site_label
_atom_site_type_symbol
_atom_site_fract_x
_atom_site_fract_y
_atom_site_fract_z
Zr1 Zr 0.028 0.224 0.000
Zr2 Zr 0.172 0.051 0.500
Zr3 Zr 0.191 0.371 0.500
In1 In 0.000 0.500 0.000
In2 In 0.154 0.685 0.500
Rh1 Rh 0.000 0.000 0.000
```

Calculated values
M_tot in μB per atom: 0.000

# 11
VASP calculation (PBE) on a relaxed CaAlTe2 crystal.

Geometry as CIF:
```
data_CaAlTe2
_chemical_formula_sum 'Ca3 Al3 Te6'
_cell_length_a 4.7485
_cell_length_b 4.7485
_cell_length_c 25.2264
_cell_angle_alpha 90.00
_cell_angle_beta 90.00
_cell_angle_gamma 120.00
_space_group_name_H-M_alt 'R -3 m'
_space_group_IT_number 166
_space_group_name_Hall '-R 3 2"'
loop_
_atom_site_label
_atom_site_type_symbol
_atom_site_fract_x
_atom_site_fract_y
_atom_site_fract_z
Ca1 Ca 0.0000 0.0000 0.0000
Al1 Al 0.0000 0.0000 0.5000
Te1 Te 0.0000 0.0000 0.3972
```

Calculated values
M_tot in μB per atom: 0.214
Raw formation energy in eV/f.u.: -1.80

# 12
VASP calculation (PBE) on a relaxed CeMgZnGe2 crystal.

Geometry as CIF:
```
data_CeMgZnGe2
_chemical_formula_sum 'Ce2 Mg2 Zn2 Ge4'
_cell_length_a 4.153
_cell_length_b 4.153
_cell_length_c 11.844
_cell_angle_alpha 90.00
_cell_angle_beta 90.00
_cell_angle_gamma 90.00
_space_group_name_H-M_alt 'I -4 m 2'
_space_group_IT_number 119
_space_group_name_Hall 'I -4 -2'
loop_
_atom_site_label
_atom_site_type_symbol
_atom_site_fract_x
_atom_site_fract_y
_atom_site_fract_z
Ce1 Ce 0.000 0.000 0.000
Mg1 Mg 0.000 0.500 0.250
Zn1 Zn 0.000 0.500 0.750
Ge1 Ge 0.000 0.000 0.392
```

Calculated values
M_tot in μB per atom: 0.127

# 13
VASP calculation (PBE) on a relaxed RbAg2SnS4 crystal.

Geometry as CIF:
```
data_RbAg2SnS4
_chemical_formula_sum 'Rb2 Ag4 Sn2 S8'
_cell_length_a 6.934
_cell_length_b 6.934
_cell_length_c 8.559
_cell_angle_alpha 90.00
_cell_angle_beta 90.00
_cell_angle_gamma 90.00
_space_group_name_H-M_alt 'I -4 2 m'
_space_group_IT_number 121
_space_group_name_Hall 'I -4 2'
loop_
_atom_site_label
_atom_site_type_symbol
_atom_site_fract_x
_atom_site_fract_y
_atom_site_fract_z
Rb1 Rb 0.000 0.000 0.000
Ag1 Ag 0.000 0.500 0.250
Sn1 Sn 0.000 0.000 0.500
S1 S 0.200 0.200 0.331
```

Calculated values
M_tot in μB per atom: 0.000
Raw formation energy in eV/f.u.: -3.27

| no. | raw total energy (eV per atom) |
| --- | --- |
| 1 | -4.794 |
| 2 | -7.181 |
| 3 | -4.582 |
| 4 | -4.457 |
| 5 | -7.208 |
| 6 | -3.041 |
| 7 | -3.856 |
| 8 | -5.047 |
| 9 | -1.260 |
| 10 | -6.893 |
| 11 | -3.456 |
| 12 | -4.059 |
| 13 | -3.807 |